[1]
Below is a geometry-optimized AlIn2GaPd structure, with properties calculated at the PBE level.

Output
ρ: 5.520 Mg/m³
formation energy: 0.40 eV/atom
energy: -3.09 eV/atom

a = 5.2246 Å, b = 4.7691 Å, c = 5.2246 Å
α = 90.00°, β = 90.00°, γ = 90.00°
Last column: nearest neighbours and their distance in Å.
Fractional coordinates of all 5 atoms:
Al 0.5000 0.5000 0.5000  8 In 3.54, 4 Pd 3.69
Pd 0.0000 0.5000 0.0000  2 Ga 2.38
In 0.5000 0.0000 0.0000  2 Ga 2.61
In 0.0000 0.0000 0.5000  2 Ga 2.61
Ga 0.0000 0.0000 0.0000  2 Pd 2.38, 4 In 2.61

=====

[2]
Below is a geometry-optimized TlSe2S6 structure, with properties calculated at the PBE level.

Output
ρ: 3.115 Mg/m³
uncorrected formation energy: 0.091 eV/atom
energy: -3.70 eV/atom

a = 7.2130 Å, b = 8.8561 Å, c = 7.4405 Å
α = 117.79°, β = 86.93°, γ = 130.70°
Last column: nearest neighbours and their distance in Å.
Fractional coordinates of all 9 atoms:
Tl 0.9218 0.8860 0.8299  2 S 2.89-2.99
S 0.3946 0.7881 0.8057  1 S 2.00
S 0.1060 0.6731 0.5910  1 S 2.00
S 0.0413 0.9665 0.2623  1 S 1.95
S 0.1675 0.5642 0.1353  1 S 2.18, 1 Se 2.20
S 0.7915 0.4202 0.9831  1 Se 2.13, 1 S 2.18
S 0.7620 0.8203 0.3713  1 S 1.95
Se 0.2345 0.4741 0.8254  2 S 2.20-2.29
Se 0.5807 0.4075 0.1960  1 S 2.13

=====

[3]
Below is a geometry-optimized LiPrHoMn structure, with properties calculated at the PBE level.

Output
ρ: 6.394 Mg/m³
formation energy: 0.15 eV/atom
energy: -4.96 eV/atom

a = 5.1307 Å, b = 5.1307 Å, c = 5.1307 Å
α = 60.00°, β = 60.00°, γ = 60.00°
Last column: nearest neighbours and their distance in Å.
Fractional coordinates of all 4 atoms:
Li 0.7500 0.7500 0.7500  4 Ho 3.14, 4 Pr 3.14
Ho 0.0000 0.0000 0.0000  4 Mn 3.14, 4 Li 3.14
Pr 0.5000 0.5000 0.5000  4 Li 3.14, 4 Mn 3.14
Mn 0.2500 0.2500 0.2500  4 Pr 3.14, 4 Ho 3.14

=====

[4]
Below is a geometry-optimized Dy4HS5 structure, with properties calculated at the PBE level.

Output
ρ: 5.767 Mg/m³
energy: -5.93 eV/atom

a = 3.8712 Å, b = 7.2257 Å, c = 9.3062 Å
α = 112.89°, β = 102.00°, γ = 90.00°
Last column: nearest neighbours and their distance in Å.
Fractional coordinates of all 10 atoms:
Dy 0.7196 0.2195 0.4391  6 S 2.75
Dy 0.0000 0.2528 0.0000  4 S 2.63-2.71, 2 H 2.66
Dy 0.2804 0.7805 0.5609  6 S 2.75
Dy 0.0000 0.7472 0.0000  4 S 2.63-2.71, 2 H 2.66
S 0.8378 0.6032 0.6756  4 Dy 2.71-2.75
S 0.1622 0.9272 0.3244  4 Dy 2.71-2.75
S 0.5000 0.5000 0.0000  4 Dy 2.63
S 0.8378 0.0728 0.6756  4 Dy 2.71-2.75
S 0.1622 0.3968 0.3244  4 Dy 2.71-2.75
H 0.5000 0.0000 0.0000  4 Dy 2.66

=====

[5]
Below is a geometry-optimized RbBaNpO4 structure, with properties calculated at the PBE level.

Output
ρ: 6.547 Mg/m³
uncorrected formation energy: -2.687 eV/atom
energy: -7.78 eV/atom

a = 4.4254 Å, b = 4.4254 Å, c = 7.4706 Å
α = 107.23°, β = 107.23°, γ = 90.00°
Last column: nearest neighbours and their distance in Å.
Fractional coordinates of all 7 atoms:
Np 0.0040 0.0040 0.0079  6 O 2.03-2.22
O 0.4918 0.9918 0.9835  2 Np 2.22
O 0.1536 0.1536 0.3072  1 Np 2.03
O 0.9918 0.4918 0.9835  2 Np 2.22
O 0.8531 0.8531 0.7061  1 Np 2.05
Ba 0.3558 0.3558 0.7116  5 O 2.74-2.88
Rb 0.6500 0.6500 0.3001  5 O 2.75-3.08

=====

[6]
Below is a geometry-optimized Be4TePb structure, with properties calculated at the PBE level.

Output
ρ: 6.485 Mg/m³
uncorrected formation energy: 0.750 eV/atom
energy: -2.88 eV/atom

a = 5.1209 Å, b = 5.1209 Å, c = 5.1209 Å
α = 60.00°, β = 60.00°, γ = 60.00°
Last column: nearest neighbours and their distance in Å.
Fractional coordinates of all 6 atoms:
Be 0.6195 0.6195 0.6195  6 Be 2.45-2.67
Be 0.6195 0.6195 0.1416  6 Be 2.45-2.67
Be 0.6195 0.1416 0.6195  6 Be 2.45-2.67
Be 0.1416 0.6195 0.6195  6 Be 2.45-2.67
Te 0.0000 0.0000 0.0000  12 Be 3.02, 4 Pb 3.14
Pb 0.2500 0.2500 0.2500  12 Be 2.99, 4 Te 3.14

=====

[7]
Below is a geometry-optimized NdDy4Zn structure, with properties calculated at the PBE level.

Output
ρ: 8.133 Mg/m³
formation energy: -0.10 eV/atom
energy: -4.17 eV/atom
polymorph energy (0 for the lowest one): 0.0000 eV per atom

a = 3.5768 Å, b = 3.5768 Å, c = 13.7191 Å
α = 90.00°, β = 90.00°, γ = 90.00°
Last column: nearest neighbours and their distance in Å.
Fractional coordinates of all 6 atoms:
Nd 0.0000 0.0000 0.0000  4 Nd 3.58, 8 Dy 3.60
Zn 0.5000 0.5000 0.5000  8 Dy 3.08
Dy 0.0000 0.0000 0.3718  4 Zn 3.08
Dy 0.5000 0.5000 0.8131  8 Dy 3.58, 4 Nd 3.60
Dy 0.0000 0.0000 0.6282  4 Zn 3.08
Dy 0.5000 0.5000 0.1869  8 Dy 3.58, 4 Nd 3.60

=====

[8]
Below is a geometry-optimized CaTlReSi2 structure, with properties calculated at the PBE level.

Output
ρ: 6.016 Mg/m³
uncorrected formation energy: 2.367 eV/atom
energy: -3.17 eV/atom

a = 5.0185 Å, b = 5.0185 Å, c = 5.3357 Å
α = 90.00°, β = 90.00°, γ = 90.00°
Last column: nearest neighbours and their distance in Å.
Fractional coordinates of all 5 atoms:
Re 0.5000 0.5000 0.5000  4 Tl 3.55, 8 Si 3.66
Tl 0.0000 0.0000 0.5000  2 Ca 2.67
Si 0.0000 0.5000 0.0000  2 Ca 2.51
Si 0.5000 0.0000 0.0000  2 Ca 2.51
Ca 0.0000 0.0000 0.0000  4 Si 2.51, 2 Tl 2.67

=====

[9]
Below is a geometry-optimized Cu2TcAu structure, with properties calculated at the PBE level.

Output
ρ: 12.004 Mg/m³
formation energy: 0.27 eV/atom
energy: -5.19 eV/atom
polymorph energy (0 for the lowest one): 0.1103 eV per atom

a = 4.2877 Å, b = 2.5819 Å, c = 5.2747 Å
α = 89.10°, β = 90.00°, γ = 90.00°
Last column: nearest neighbours and their distance in Å.
Fractional coordinates of all 4 atoms:
Tc 0.5000 0.2500 0.2500  2 Tc 2.58, 8 Cu 2.74-2.80
Cu 0.0000 0.7807 0.0262  3 Cu 2.36-2.58, 2 Au 2.59
Cu 0.0000 0.7193 0.4738  3 Cu 2.36-2.58, 2 Au 2.59
Au 0.5000 0.7500 0.7500  2 Au 2.58, 4 Cu 2.59

=====

[10]
Below is a geometry-optimized CaZnNF2 structure, with properties calculated at the PBE level.

Output
ρ: 3.891 Mg/m³
uncorrected formation energy: -1.480 eV/atom
energy: -4.55 eV/atom
polymorph energy (0 for the lowest one): 0.0000 eV per atom

a = 4.1345 Å, b = 4.1345 Å, c = 3.9315 Å
α = 90.00°, β = 90.00°, γ = 90.00°
Last column: nearest neighbours and their distance in Å.
Fractional coordinates of all 5 atoms:
N 0.0000 0.0000 0.5000  2 Zn 1.97
Zn 0.0000 0.0000 0.0000  2 N 1.97, 4 F 2.07
Ca 0.5000 0.5000 0.5000  8 F 2.85, 4 N 2.92
F 0.0000 0.5000 0.0000  2 Zn 2.07
F 0.5000 0.0000 0.0000  2 Zn 2.07

=====

[11]
Below is a geometry-optimized Ca2AuN structure, with properties calculated at the PBE level.

Output
ρ: 5.062 Mg/m³
uncorrected formation energy: -0.614 eV/atom
energy: -4.52 eV/atom

a = 6.8995 Å, b = 6.8995 Å, c = 6.3166 Å
α = 56.90°, β = 56.90°, γ = 90.00°
Last column: nearest neighbours and their distance in Å.
Fractional coordinates of all 8 atoms:
Ca 0.8750 0.7832 0.7500  2 N 2.27
Ca 0.5332 0.1250 0.2500  2 N 2.27
Ca 0.3750 0.4668 0.7500  2 N 2.27
Ca 0.2168 0.6250 0.2500  2 N 2.27
N 0.5000 0.5000 0.0000  4 Ca 2.27
N 0.2500 0.7500 0.5000  4 Ca 2.27
Au 0.7500 0.2500 0.5000  4 Ca 3.09
Au 0.0000 0.0000 0.0000  4 Ca 3.09

=====

[12]
Below is a geometry-optimized BaNaSi4 structure, with properties calculated at the PBE level.

Output
ρ: 3.146 Mg/m³
uncorrected formation energy: -0.127 eV/atom
energy: -4.28 eV/atom

a = 4.8937 Å, b = 7.8830 Å, c = 14.9243 Å
α = 90.00°, β = 90.00°, γ = 90.00°
Last column: nearest neighbours and their distance in Å.
Fractional coordinates of all 24 atoms:
Si 0.5000 0.4343 0.1938  3 Si 2.31-2.38
Si 0.5000 0.2634 0.8084  3 Si 2.31-2.41
Si 0.5000 0.6272 0.9591  3 Si 2.33-2.35
Si 0.5000 0.1272 0.5409  3 Si 2.33-2.35
Si 0.5000 0.9343 0.3062  3 Si 2.31-2.38
Si 0.5000 0.2366 0.3084  3 Si 2.31-2.41
Si 0.5000 0.3737 0.4530  3 Si 2.34-2.44
Si 0.5000 0.8737 0.0470  3 Si 2.34-2.44
Si 0.5000 0.5657 0.8062  3 Si 2.31-2.38
Si 0.5000 0.8728 0.4591  3 Si 2.33-2.35
Si 0.5000 0.1263 0.9530  3 Si 2.34-2.44
Si 0.5000 0.6263 0.5470  3 Si 2.34-2.44
Si 0.5000 0.3728 0.0409  3 Si 2.33-2.35
Si 0.5000 0.7366 0.1916  3 Si 2.31-2.41
Si 0.5000 0.7634 0.6916  3 Si 2.31-2.41
Si 0.5000 0.0657 0.6938  3 Si 2.31-2.38
Na 0.0000 0.8795 0.5899  10 Si 3.02-3.25, 1 Na 3.29
Na 0.0000 0.6205 0.0899  10 Si 3.02-3.25, 1 Na 3.29
Na 0.0000 0.3795 0.9101  10 Si 3.02-3.25, 1 Na 3.29
Na 0.0000 0.1205 0.4101  10 Si 3.02-3.25, 1 Na 3.29
Ba 0.0000 0.8950 0.8500  10 Si 3.42-3.64
Ba 0.0000 0.6050 0.3500  10 Si 3.42-3.64
Ba 0.0000 0.1050 0.1500  10 Si 3.42-3.64
Ba 0.0000 0.3950 0.6500  10 Si 3.42-3.64